# 1
Compound: Ac2Al4CdAg3
Source: Alexandria via LeMat-Bulk
Functional: GGA-PBE
Structure: optimized geometry

It has space group P-4m2 (No. 115), with a = 4.578 Å, b = 4.578 Å, c = 11.031 Å, α = 90.00°, β = 90.00° and γ = 90.00°. The inequivalent atoms are Ac at (0.000, 0.500, 0.247), Al at (0.000, 0.000, 0.000), Al at (0.000, 0.500, 0.638), Al at (0.500, 0.500, 0.000), Cd at (0.000, 0.000, 0.500), Ag at (0.000, 0.500, 0.875) and Ag at (0.500, 0.500, 0.500).

Its total moment is 0.0 μB per formula unit. As for the energy: -3.59 eV per atom.

***

# 2
Compound: Nd8Zn2Tc
Source: Alexandria via LeMat-Bulk
Functional: GGA-PBE
Structure: optimized geometry

It has space group Immm (No. 71), with a = 5.046 Å, b = 8.658 Å, c = 14.524 Å, α = 90.00°, β = 90.00° and γ = 90.00°. The inequivalent atoms are Nd at (0.000, 0.000, 0.122), Nd at (0.000, 0.229, 0.344), Nd at (0.000, 0.334, 0.000), Zn at (0.000, 0.500, 0.195) and Tc at (0.000, 0.500, 0.500).

Its total moment is 0.0 μB per formula unit. Its polymorph energy (0 for the lowest one) is 0.090 eV/atom.

***

# 3
Compound: LiPrTmPd
Source: Alexandria via LeMat-Bulk
Functional: GGA-PBE
Structure: optimized geometry

It has space group F-43m (No. 216), with a = 7.216 Å, b = 7.216 Å, c = 7.216 Å, α = 90.00°, β = 90.00° and γ = 90.00°. The inequivalent atoms are Li at (0.000, 0.000, 0.000), Pr at (0.250, 0.250, 0.750), Tm at (0.250, 0.250, 0.250) and Pd at (0.000, 0.000, 0.500).

Its total moment is 0.0 μB per formula unit. As for the energy: -4.45 eV per atom.